## CaAl2Se (PBE)

Data for crystalline CaAl2Se at its relaxed geometry.

## Properties
- calculated density (kg/m3) = 3260
- ΔE_f (raw) (eV/f.u.) = -0.87

```
CaAl2Se
1.0
0.000 3.532 3.532
3.532 0.000 3.532
3.532 3.532 0.000
Ca Al Se
1 2 1
Direct
0.000 0.000 0.000 Ca
0.500 0.500 0.500 Al
0.750 0.750 0.750 Al
0.250 0.250 0.250 Se
```